# 1
A geometry-optimized AcLaSnRh structure, computed with PBE-GGA.

a b c (Å): 5.0108 5.0108 10.5344
angles (deg): 90.00 90.00 90.00
Space group P4/nmm (No. 129, origin choice 2)
Asymmetric unit:
Ac  0.2500  0.2500  0.1732
La  0.2500  0.7500  0.5000
Sn  0.2500  0.2500  0.8640
Rh  0.2500  0.2500  0.6194

Results
The value obtained for the total magnetization is 0.00 μB per atom. The value obtained for the density of states at the Fermi level is 0.914 states/eV per atom. As for the energy of formation: -0.504 eV per atom. The total energy comes out at -5.602 eV/atom.

=====

# 2
A geometry-optimized AcLaTeRh structure, computed with PBE-GGA.

a b c (Å): 4.3431 4.3431 23.7141
angles (deg): 90.00 90.00 120.00
Space group R3m (No. 160, hexagonal axes)
Asymmetric unit:
Ac  0.0000  0.0000  0.0000
La  0.0000  0.0000  0.1944
Te  0.0000  0.0000  0.4346
Rh  0.0000  0.0000  0.5943

Results
The raw formation energy comes out at -1080 meV/atom. The value obtained for the total magnetization is 0.00 μB per atom. The value obtained for the density of states at the Fermi level is 0.749 states/eV per atom. The total energy comes out at -5.962 eV/atom.

=====

# 3
A geometry-optimized AcLaZnRh structure, computed with PBE-GGA.

a b c (Å): 7.4725 7.4725 7.4725
angles (deg): 90.00 90.00 90.00
Space group F-43m (No. 216)
Asymmetric unit:
Ac  0.0000  0.0000  0.0000
La  0.0000  0.0000  0.5000
Zn  0.2500  0.2500  0.2500
Rh  0.2500  0.2500  0.7500

Results
The value obtained for the total magnetization is 0.00 μB per atom. The value obtained for the density of states at the Fermi level is 0.672 states/eV per atom. As for the energy of formation: -0.425 eV per atom. For the energy above the most stable polymorph in this dataset, the calculation gives 0.224 eV per formula unit. The total energy comes out at -4.840 eV/atom.

=====

# 4
A geometry-optimized AcLaZnRh structure, computed with PBE-GGA.

a b c (Å): 4.4766 4.2861 11.3018
angles (deg): 90.00 90.00 90.00
Space group Amm2 (No. 38)
Asymmetric unit:
Ac  0.0000  0.0000  0.0000
La  0.5000  0.0000  0.7220
Zn  0.5000  0.0000  0.4206
Rh  0.0000  0.0000  0.2829

Results
The value obtained for the total magnetization is 0.00 μB per atom. The value obtained for the density of states at the Fermi level is 0.969 states/eV per atom. As for the energy of formation: -0.481 eV per atom. For the energy above the most stable polymorph in this dataset, the calculation gives 0.000 eV per formula unit. The total energy comes out at -4.896 eV/atom.

=====

# 5
A geometry-optimized AcLa8Ru2 structure, computed with PBE-GGA.

a b c (Å): 13.0596 8.7192 7.6363
angles (deg): 90.00 111.32 90.00
Space group C2/m (No. 12)
Asymmetric unit:
Ac  0.0000  0.0000  0.0000
La  0.1144  0.3056  0.3170
La  0.1304  0.0000  0.6826
La  0.1722  0.5000  0.8177
Ru  0.2044  0.0000  0.4005

Results
The value obtained for the total magnetization is 0.00 μB per atom. The value obtained for the density of states at the Fermi level is 1.191 states/eV per atom. As for the energy of formation: -0.031 eV per atom. The total energy comes out at -5.674 eV/atom.

=====

# 6
A geometry-optimized AcLaRu structure, computed with PBE-GGA.

a b c (Å): 4.2428 4.2428 6.6267
angles (deg): 90.00 90.00 120.00
Space group P3m1 (No. 156)
Asymmetric unit:
Ac  0.0000  0.0000  0.0000
La  0.3333  0.6667  0.5392
Ru  0.6667  0.3333  0.7502

Results
The value obtained for the total magnetization is 0.00 μB per atom. The value obtained for the density of states at the Fermi level is 0.326 states/eV per atom. As for the energy of formation: -0.208 eV per atom. For the energy above the most stable polymorph in this dataset, the calculation gives 0.001 eV per formula unit. The total energy comes out at -6.312 eV/atom.

=====

# 7
A geometry-optimized AcLa2Ru structure, computed with PBE-GGA.

a b c (Å): 4.0736 4.0736 29.6087
angles (deg): 90.00 90.00 120.00
Space group R-3m (No. 166, hexagonal axes)
Asymmetric unit:
Ac  0.0000  0.0000  0.0000
La  0.0000  0.0000  0.2196
Ru  0.0000  0.0000  0.5000

Results
The value obtained for the total magnetization is 0.00 μB per atom. The value obtained for the density of states at the Fermi level is 0.856 states/eV per atom. As for the energy of formation: -0.131 eV per atom. For the energy above the most stable polymorph in this dataset, the calculation gives 0.350 eV per formula unit. The total energy comes out at -5.941 eV/atom.

=====

# 8
A geometry-optimized Ac5LaRu3 structure, computed with PBE-GGA.

a b c (Å): 7.0119 4.3695 20.6636
angles (deg): 90.00 91.29 90.00
Space group P2/m (No. 10)
Asymmetric unit:
Ac  0.1674  0.0000  0.4082
Ac  0.1862  0.0000  0.0738
Ac  0.3127  0.5000  0.9051
Ac  0.3253  0.5000  0.2423
Ac  0.3292  0.5000  0.5760
La  0.1774  0.0000  0.7407
Ru  0.0000  0.5000  0.0000
Ru  0.0148  0.5000  0.6712
Ru  0.4863  0.0000  0.8295
Ru  0.5000  0.0000  0.5000

Results
The value obtained for the total magnetization is 0.00 μB per atom. The value obtained for the density of states at the Fermi level is 0.372 states/eV per atom. As for the energy of formation: -0.195 eV per atom. The total energy comes out at -6.117 eV/atom.